No. 1
{
  "formula": "TaW",
  "functional": "SCAN",
  "state": "PBEsol geometry",
  "dft_energy_ev_per_atom": -68.212,
  "volume_a3_per_atom": 16.4,
  "total_magnetization_mub_per_fu": 0.000,
  "sg": "Fd-3m, No. 227",
  "cell": [[4.530, 0.000, 0.000], [2.265, 3.923, 0.000], [2.265, 1.308, 3.699]],
  "species": ["W", "W", "Ta", "Ta"],
  "fractional_positions": [[0.500, 0.500, 0.500], [0.750, 0.750, 0.750], [0.250, 0.250, 0.250], [0.000, 0.000, 0.000]]
}

---

No. 2
{
  "formula": "KBaAu2",
  "functional": "SCAN",
  "state": "PBEsol geometry",
  "volume_a3_per_atom": 35.3,
  "total_magnetization_mub_per_fu": 0.000,
  "sg": "R-3m, No. 166",
  "e_above_lowest_polymorph_mev_per_atom": 87,
  "cell": [[4.589, 0.000, 0.000], [2.294, 3.974, 0.000], [2.294, 1.325, 7.743]],
  "species": ["K", "Au", "Au", "Ba"],
  "fractional_positions": [[0.000, 0.000, 0.000], [0.754, 0.754, 0.738], [0.246, 0.246, 0.262], [0.500, 0.500, 0.500]]
}